A:
A plane-wave DFT calculation with GGA-PBE was carried out for a relaxed LaBeGaPt crystal.

Properties
* magnetization: 0.00 μB/cell

Unit cell a=4.682 b=4.682 c=4.682 alpha=60.00 beta=60.00 gamma=60.00
Atoms (fractional coordinates):
Be 0.750 0.750 0.750
Ga 0.250 0.250 0.250
La 0.000 0.000 0.000
Pt 0.500 0.500 0.500

B:
A plane-wave DFT calculation with GGA-PBE was carried out for a relaxed LaBeGaPt crystal.

Properties
* magnetization: 0.00 μB/cell

Unit cell a=4.800 b=4.800 c=4.800 alpha=60.00 beta=60.00 gamma=60.00
Atoms (fractional coordinates):
Be 0.750 0.750 0.750
Ga 0.000 0.000 0.000
La 0.250 0.250 0.250
Pt 0.500 0.500 0.500

Which of them is the most stable, and which is the least stable? A and B, in that order.